Entry from Alexandria via LeMat-Bulk: a relaxed structure of Sr2YBTe (PBE-GGA).

Energy in eV for the cell shown: -16.5
Space-group type: P4/mmm, No. 123

Structure (POSCAR):
```
Sr2YBTe
1.0
-3.889 -5.135 -0.206
1.827 -1.222 -4.031
4.454 -3.496 3.079
Y Sr B Te
1 2 1 1
Cartesian
1.196 -4.927 -0.579 Y
2.227 -1.748 1.539 Sr
-1.945 -2.568 -0.103 Sr
0.914 -0.611 -2.016 B
0.000 0.000 0.000 Te
```